Material: HfIn2Cl
Method: DFT, PBE-GGA
State: relaxed

Cell and atoms, written as POSCAR:
```
HfIn2Cl
1.0
-4.881 4.881 2.478
4.881 -4.881 2.478
4.881 4.881 -2.478
Hf In Cl
2 4 2
Cartesian
0.000 0.000 0.000
0.000 4.881 1.239
2.441 1.611 -0.619
3.270 -2.441 3.097
2.441 3.270 1.858
1.611 7.322 0.619
4.881 0.000 1.239
0.000 0.000 2.478
```

## Properties
ΔE to the lowest computed polymorph (eV/atom): 0.000
ΔE_f (raw) (meV/atom): 59
Space group: No. 122

=====

Material: HfInCl2
Method: DFT, PBE-GGA
State: relaxed

Cell and atoms, written as POSCAR:
```
HfInCl2
1.0
-2.254 2.254 9.195
2.254 -2.254 9.195
2.254 2.254 -9.195
Hf In Cl
2 2 4
Cartesian
0.000 0.000 0.000
0.000 2.254 4.598
2.254 0.000 4.598
0.000 0.000 9.195
3.381 0.949 -2.299
0.949 1.127 2.299
-1.127 1.305 6.896
1.305 1.127 11.494
```

## Properties
ΔE to the lowest computed polymorph (eV/atom): 0.525
ΔE_f (raw) (meV/atom): -415
Space group: No. 122

=====

Material: HfInCl5
Method: DFT, PBE-GGA
State: relaxed

Cell and atoms, written as POSCAR:
```
HfInCl5
1.0
8.947 -2.621 0.000
8.947 2.621 0.000
-5.692 0.000 11.511
Hf In Cl
2 2 10
Cartesian
4.473 1.311 0.000
1.627 -1.311 5.756
7.524 1.350 2.878
4.677 -1.350 8.634
4.549 1.339 2.397
1.181 1.349 11.433
4.677 1.271 8.634
8.174 1.349 5.834
10.498 1.339 3.358
1.703 -1.339 8.153
4.027 -1.349 5.677
7.524 -1.271 2.878
11.021 -1.349 0.078
7.652 -1.339 9.114
```

## Properties
ΔE_f (raw) (meV/atom): -1179
Space group: No. 15

=====

It is found that the ρ values, taken in the order of the records, are 6.2 6.5 2.9 g/cm3.
It is found that the total moment values, taken in the order of the records, are 0.000 0.184 0.106 μB per atom.